Entry 1:
First-principles (PBE) data for a geometry-optimized CaCuSe2Br structure, as listed in Alexandria.

Total magnetization ... 1.86 μB/f.u.
Distance to the lowest polymorph of the same formula ... 0.702 eV per atom
Raw formation energy ... 81.7 meV per atom
N(E_F) ... 4.45 states/eV/f.u.
Final energy ... -14.33 eV/cell

Cell lengths 5.586, 5.586, 5.507 Å; angles 90.00, 90.00, 90.00 degrees
Space group P4/mmm (No. 123)
Asymmetric unit:
1 Ca 0.000 0.000 0.000
2 Cu 0.500 0.500 0.500
3 Se 0.000 0.500 0.000
4 Br 0.000 0.000 0.500



Entry 2:
First-principles (PBE) data for a geometry-optimized Tl4BiTe structure, as listed in Alexandria.

Total magnetization ... 0.00 μB/f.u.
Raw formation energy ... -66.5 meV per atom
N(E_F) ... 3.05 states/eV/f.u.
Final energy ... -67.55 eV/cell

Cell lengths 9.653, 13.502, 8.186 Å; angles 90.00, 121.99, 90.00 degrees
Space group C2/c (No. 15)
Asymmetric unit:
1 Tl 0.189 0.076 0.029
2 Tl 0.202 0.328 0.275
3 Bi 0.000 0.125 0.250
4 Te 0.000 0.270 0.750



Entry 3:
First-principles (PBE) data for a geometry-optimized Ba2NaTeS4 structure, as listed in Alexandria.

Total magnetization ... 0.00 μB/f.u.
Raw formation energy ... -1152.8 meV per atom
N(E_F) ... 1.19 states/eV/f.u.
Final energy ... -136.15 eV/cell

Cell lengths 11.869, 11.862, 8.640 Å; angles 90.00, 129.63, 90.00 degrees
Space group C2/c (No. 15)
Asymmetric unit:
1 Ba 0.000 0.000 0.000
2 Ba 0.250 0.250 0.000
3 Na 0.000 0.500 0.000
4 Te 0.250 0.250 0.500
5 S 0.036 0.259 0.524
6 S 0.250 0.019 0.481



Entry 4:
First-principles (PBE) data for a geometry-optimized PrNdGdGa structure, as listed in Alexandria.

Total magnetization ... 8.12 μB/f.u.
N(E_F) ... 6.20 states/eV/f.u.
ΔE_f ... -0.120 eV per atom
Final energy ... -108.54 eV/cell

Cell lengths 7.722, 7.722, 7.722 Å; angles 90.00, 90.00, 90.00 degrees
Space group F-43m (No. 216)
Asymmetric unit:
1 Pr 0.000 0.000 0.000
2 Nd 0.000 0.000 0.500
3 Gd 0.250 0.250 0.250
4 Ga 0.250 0.250 0.750



Entry 5:
First-principles (PBE) data for a geometry-optimized MgAl4Tl4O12 structure, as listed in Alexandria.

Total magnetization ... 0.00 μB/f.u.
Distance to the lowest polymorph of the same formula ... 0.000 eV per atom
Raw formation energy ... -1821.8 meV per atom
Final energy ... -123.79 eV/cell

Cell lengths 5.522, 6.127, 9.404 Å; angles 73.17, 87.09, 88.33 degrees
Space group P1 (No. 1)
Asymmetric unit:
1 Mg 0.000 0.000 0.000
2 Al 0.354 0.875 0.823
3 Al 0.459 0.158 0.456
4 Al 0.873 0.592 0.789
5 Al 0.970 0.852 0.410
6 Tl 0.046 0.440 0.200
7 Tl 0.430 0.595 0.572
8 Tl 0.493 0.958 0.198
9 Tl 0.951 0.210 0.636
10 O 0.011 0.626 0.604
11 O 0.029 0.799 0.850
12 O 0.121 0.093 0.447
13 O 0.245 0.704 0.353
14 O 0.360 0.950 0.988
15 O 0.364 0.122 0.665
16 O 0.464 0.274 0.253
17 O 0.553 0.660 0.789
18 O 0.656 0.910 0.474
19 O 0.673 0.378 0.478
20 O 0.885 0.914 0.209
21 O 0.905 0.290 0.857



Entry 6:
First-principles (PBE) data for a geometry-optimized SrCoW structure, as listed in Alexandria.

Total magnetization ... 0.00 μB/f.u.
Distance to the lowest polymorph of the same formula ... 0.312 eV per atom
N(E_F) ... 1.53 states/eV/f.u.
ΔE_f ... 0.606 eV per atom
Final energy ... -39.85 eV/cell

Cell lengths 3.225, 3.225, 11.997 Å; angles 90.00, 90.00, 90.00 degrees
Space group I4mm (No. 107)
Asymmetric unit:
1 Sr 0.000 0.000 0.000
2 Co 0.000 0.000 0.709
3 W 0.000 0.000 0.278



Entry 7:
First-principles (PBE) data for a geometry-optimized Tb3Pm4ErS8 structure, as listed in Alexandria.

Total magnetization ... 0.00 μB/f.u.
Raw formation energy ... -2014.3 meV per atom
N(E_F) ... 8.08 states/eV/f.u.
Final energy ... -308.11 eV/cell

Cell lengths 7.9093, 7.9093, 19.6600 Å; angles 90.00, 90.00, 120.00 degrees
Space group R-3m (No. 166, hexagonal axes)
Asymmetric unit:
1 Tb 0.0000 0.5000 0.0000
2 Pm 0.0000 0.0000 0.5000
3 Pm 0.0000 0.5000 0.5000
4 Er 0.0000 0.0000 0.0000
5 S 0.0000 0.0000 0.2536
6 S 0.0031 0.5016 0.7456



Entry 8:
First-principles (PBE) data for a geometry-optimized RbSc2B2 structure, as listed in Alexandria.

Total magnetization ... 0.31 μB/f.u.
Distance to the lowest polymorph of the same formula ... 0.000 eV per atom
N(E_F) ... 4.85 states/eV/f.u.
ΔE_f ... 0.548 eV per atom
Final energy ... -48.49 eV/cell

Cell lengths 4.527, 4.527, 8.821 Å; angles 90.00, 90.00, 90.00 degrees
Space group I4/mmm (No. 139)
Asymmetric unit:
1 Rb 0.000 0.000 0.000
2 Sc 0.000 0.500 0.250
3 B 0.000 0.000 0.403



Entry 9:
First-principles (PBE) data for a geometry-optimized Pm2HoRu2 structure, as listed in Alexandria.

Total magnetization ... 0.00 μB/f.u.
Distance to the lowest polymorph of the same formula ... 0.000 eV per atom
N(E_F) ... 3.79 states/eV/f.u.
ΔE_f ... -0.236 eV per atom
Final energy ... -67.62 eV/cell

Cell lengths 4.336, 6.184, 8.950 Å; angles 90.00, 90.00, 90.00 degrees
Space group Immm (No. 71)
Asymmetric unit:
1 Pm 0.000 0.000 0.199
2 Ho 0.000 0.500 0.000
3 Ru 0.000 0.282 0.500



Entry 10:
First-principles (PBE) data for a geometry-optimized TbZr2Cd structure, as listed in Alexandria.

Total magnetization ... 0.00 μB/f.u.
Distance to the lowest polymorph of the same formula ... 0.000 eV per atom
N(E_F) ... 5.26 states/eV/f.u.
ΔE_f ... -0.004 eV per atom
Final energy ... -22.66 eV/cell

Cell lengths 4.556, 4.556, 4.620 Å; angles 90.00, 90.00, 90.00 degrees
Space group P4/mmm (No. 123)
Asymmetric unit:
1 Tb 0.000 0.000 0.000
2 Zr 0.000 0.500 0.500
3 Cd 0.500 0.500 0.000



Entry 11:
First-principles (PBE) data for a geometry-optimized Pu2TcC2 structure, as listed in Alexandria.

Total magnetization ... 0.03 μB/f.u.
Distance to the lowest polymorph of the same formula ... 0.000 eV per atom
N(E_F) ... 14.82 states/eV/f.u.
ΔE_f ... -0.056 eV per atom
Final energy ... -231.03 eV/cell

Cell lengths 6.392, 5.110, 9.815 Å; angles 90.00, 90.00, 90.00 degrees
Space group Pnma (No. 62)
Asymmetric unit:
1 Pu 0.031 0.250 0.224
2 Pu 0.190 0.250 0.549
3 Tc 0.210 0.250 0.871
4 C 0.051 0.750 0.247
5 C 0.168 0.750 0.558



Entry 12:
First-principles (PBE) data for a geometry-optimized LaSi3Rh6 structure, as listed in Alexandria.

Total magnetization ... 0.00 μB/f.u.
Raw formation energy ... -761.9 meV per atom
N(E_F) ... 7.50 states/eV/f.u.
Final energy ... -218.77 eV/cell

Cell lengths 5.6040, 5.6040, 17.6560 Å; angles 90.00, 90.00, 120.00 degrees
Space group R3 (No. 146, hexagonal axes)
Asymmetric unit:
1 La 0.0000 0.0000 0.0000
2 Si 0.0000 0.0000 0.1724
3 Si 0.0000 0.0000 0.3796
4 Si 0.0000 0.0000 0.7141
5 Rh 0.0010 0.4400 0.1434
6 Rh 0.1602 0.8238 0.2785



Entry 13:
First-principles (PBE) data for a geometry-optimized KGaC structure, as listed in Alexandria.

Total magnetization ... 0.00 μB/f.u.
N(E_F) ... 0.00 states/eV/f.u.
ΔE_f ... 0.807 eV per atom
Final energy ... -21.86 eV/cell

Cell lengths 5.6762, 5.6762, 7.0920 Å; angles 90.00, 90.00, 120.00 degrees
Space group P6_3/mmc (No. 194)
Asymmetric unit:
1 K 0.3333 0.6667 0.2500
2 Ga 0.0000 0.0000 0.2500
3 C 0.0000 0.0000 0.0000



Entry 14:
First-principles (PBE) data for a geometry-optimized SrPtI2N structure, as listed in Alexandria.

Total magnetization ... 3.14 μB/f.u.
Distance to the lowest polymorph of the same formula ... 1.144 eV per atom
Raw formation energy ... 917.8 meV per atom
N(E_F) ... 7.45 states/eV/f.u.
Final energy ... -14.56 eV/cell

Cell lengths 6.303, 6.303, 4.875 Å; angles 90.00, 90.00, 90.00 degrees
Space group P4/mmm (No. 123)
Asymmetric unit:
1 Sr 0.000 0.000 0.000
2 Pt 0.500 0.500 0.500
3 I 0.000 0.500 0.000
4 N 0.000 0.000 0.500



Entry 15:
First-principles (PBE) data for a geometry-optimized Li2CaSnSe4 structure, as listed in Alexandria.

Total magnetization ... 0.00 μB/f.u.
Raw formation energy ... -1052.4 meV per atom
N(E_F) ... 1.37 states/eV/f.u.
Final energy ... -128.76 eV/cell

Cell lengths 7.950, 8.143, 11.361 Å; angles 90.00, 90.00, 90.00 degrees
Space group Imma (No. 74)
Asymmetric unit:
1 Li 0.000 0.000 0.000
2 Li 0.250 0.250 0.250
3 Ca 0.000 0.000 0.500
4 Sn 0.250 0.250 0.750
5 Se 0.000 0.003 0.758
6 Se 0.238 0.250 0.987



Entry 16:
First-principles (PBE) data for a geometry-optimized Ba2CaPt structure, as listed in Alexandria.

Total magnetization ... 0.00 μB/f.u.
Distance to the lowest polymorph of the same formula ... 0.154 eV per atom
N(E_F) ... 0.05 states/eV/f.u.
ΔE_f ... -0.379 eV per atom
Final energy ... -53.62 eV/cell

Cell lengths 11.500, 11.500, 5.717 Å; angles 90.00, 90.00, 90.00 degrees
Space group I-42d (No. 122)
Asymmetric unit:
1 Ba 0.103 0.250 0.125
2 Ca 0.000 0.000 0.500
3 Pt 0.000 0.000 0.000



Entry 17:
First-principles (PBE) data for a geometry-optimized Cr2HgW structure, as listed in Alexandria.

Total magnetization ... 0.00 μB/f.u.
N(E_F) ... 3.52 states/eV/f.u.
ΔE_f ... 0.507 eV per atom
Final energy ... -30.47 eV/cell

Cell lengths 3.188, 3.188, 6.065 Å; angles 90.00, 90.00, 90.00 degrees
Space group P4mm (No. 99)
Asymmetric unit:
1 Cr 0.000 0.000 0.000
2 Cr 0.500 0.500 0.181
3 Hg 0.000 0.000 0.472
4 W 0.500 0.500 0.795



Entry 18:
First-principles (PBE) data for a geometry-optimized PrYErAg structure, as listed in Alexandria.

Total magnetization ... 0.00 μB/f.u.
Distance to the lowest polymorph of the same formula ... 0.199 eV per atom
N(E_F) ... 3.93 states/eV/f.u.
ΔE_f ... 0.059 eV per atom
Final energy ... -73.69 eV/cell

Cell lengths 7.704, 7.704, 7.704 Å; angles 90.00, 90.00, 90.00 degrees
Space group F-43m (No. 216)
Asymmetric unit:
1 Pr 0.000 0.000 0.000
2 Y 0.000 0.000 0.500
3 Er 0.250 0.250 0.750
4 Ag 0.250 0.250 0.250



Entry 19:
First-principles (PBE) data for a geometry-optimized Cs2SrCd2Te4 structure, as listed in Alexandria.

Total magnetization ... 0.00 μB/f.u.
Raw formation energy ... -1008.8 meV per atom
Final energy ... -53.73 eV/cell

Cell lengths 17.999, 4.757, 9.140 Å; angles 90.00, 108.81, 90.00 degrees
Space group C2/m (No. 12)
Asymmetric unit:
1 Cs 0.127 0.000 0.053
2 Sr 0.000 0.000 0.500
3 Cd 0.170 0.500 0.475
4 Te 0.018 0.500 0.258
5 Te 0.205 0.000 0.674



Entry 20:
First-principles (PBE) data for a geometry-optimized InAgH2 structure, as listed in Alexandria.

Total magnetization ... 0.00 μB/f.u.
Distance to the lowest polymorph of the same formula ... 0.550 eV per atom
N(E_F) ... 1.49 states/eV/f.u.
Final energy ... -37.97 eV/cell

Cell lengths 5.965, 5.965, 5.965 Å; angles 90.00, 90.00, 90.00 degrees
Space group Fm-3m (No. 225)
Asymmetric unit:
1 In 0.000 0.000 0.000
2 Ag 0.000 0.000 0.500
3 H 0.250 0.250 0.250



Entry 21:
First-principles (PBE) data for a geometry-optimized Sm2Ho15Sc2 structure, as listed in Alexandria.

Total magnetization ... 2.33 μB/f.u.
N(E_F) ... 34.71 states/eV/f.u.
ΔE_f ... 0.285 eV per atom
Final energy ... -256.06 eV/cell

Cell lengths 11.0947, 11.0947, 17.2802 Å; angles 90.00, 90.00, 120.00 degrees
Space group R-3m (No. 166, hexagonal axes)
Asymmetric unit:
1 Sm 0.0000 0.0000 0.1773
2 Ho 0.0000 0.2941 0.5000
3 Ho 0.0000 0.5000 0.0000
4 Ho 0.0071 0.5035 0.6384
5 Sc 0.0000 0.0000 0.4085



Entry 22:
First-principles (PBE) data for a geometry-optimized ZnAuN2O structure, as listed in Alexandria.

Total magnetization ... 3.50 μB/f.u.
Raw formation energy ... 1599.2 meV per atom
N(E_F) ... 3.79 states/eV/f.u.
Final energy ... -18.16 eV/cell

Cell lengths 3.957, 3.957, 3.961 Å; angles 90.00, 90.00, 90.00 degrees
Space group P4/mmm (No. 123)
Asymmetric unit:
1 Zn 0.000 0.000 0.000
2 Au 0.500 0.500 0.500
3 N 0.000 0.500 0.000
4 O 0.000 0.000 0.500



Entry 23:
First-principles (PBE) data for a geometry-optimized KBeW2Se structure, as listed in Alexandria.

Total magnetization ... 1.10 μB/f.u.
Raw formation energy ... 1483.0 meV per atom
N(E_F) ... 4.32 states/eV/f.u.
Final energy ... -26.80 eV/cell

Cell lengths 4.360, 4.360, 5.240 Å; angles 90.00, 90.00, 90.00 degrees
Space group P4/mmm (No. 123)
Asymmetric unit:
1 K 0.000 0.000 0.000
2 Be 0.500 0.500 0.500
3 W 0.000 0.500 0.500
4 Se 0.500 0.500 0.000



Entry 24:
First-principles (PBE) data for a geometry-optimized AlInSeI2 structure, as listed in Alexandria.

Total magnetization ... 0.00 μB/f.u.
Raw formation energy ... -316.6 meV per atom
N(E_F) ... 0.76 states/eV/f.u.
Final energy ... -14.65 eV/cell

Cell lengths 5.799, 5.799, 4.819 Å; angles 90.00, 90.00, 90.00 degrees
Space group P4/mmm (No. 123)
Asymmetric unit:
1 Al 0.000 0.000 0.000
2 In 0.500 0.500 0.500
3 Se 0.000 0.000 0.500
4 I 0.000 0.500 0.000